# 1
A PBEsol-optimized structure of Rb3ZnCo, computed with meta-GGA SCAN.

The structure in POSCAR format:
```
Rb3ZnCo
1.0
6.317 0.000 0.000
0.000 6.317 0.000
0.000 0.000 6.317
Rb Zn Co
3 1 1
direct
0.000 0.000 0.500 Rb
0.000 0.500 0.000 Rb
0.500 0.000 0.000 Rb
0.500 0.500 0.500 Zn
0.000 0.000 0.000 Co
```

- VASP energy: -1.3162 Ry/atom
- ΔE_f: 0.699 eV per atom
- Magnetic moment: 0.25 μB per atom


# 2
A PBEsol-optimized structure of RbZn2Co2, computed with meta-GGA SCAN.

The structure in POSCAR format:
```
RbZn2Co2
1.0
-1.642 1.642 9.179
1.642 -1.642 9.179
1.642 1.642 -9.179
Rb Zn Co
1 2 2
direct
0.000 0.000 0.000 Rb
0.353 0.353 0.000 Zn
0.647 0.647 0.000 Zn
0.250 0.750 0.500 Co
0.750 0.250 0.500 Co
```

- VASP energy: -1.1768 Ry/atom
- ΔE_f: 0.464 eV per atom
- Magnetic moment: 0.70 μB per atom


# 3
A PBEsol-optimized structure of RbZr2Co, computed with meta-GGA SCAN.

The structure in POSCAR format:
```
RbZr2Co
1.0
0.000 3.391 3.391
3.391 0.000 3.391
3.391 3.391 0.000
Rb Zr Co
1 2 1
direct
0.000 0.000 0.000 Rb
0.250 0.250 0.250 Zr
0.750 0.750 0.750 Zr
0.500 0.500 0.500 Co
```

- VASP energy: -1.7418 Ry/atom
- ΔE_f: 1.162 eV per atom
- Magnetic moment: 0.00 μB per atom


Q: Look up the magnetic moment of the first one.
A: 0.25 μB per atom


Q: Which value of ΔE_f does entry 2 give?
A: 0.464 eV per atom